[1]
Computed, not measured: a relaxed structure of ReH3O4 at the PBE level of DFT.

The structure belongs to space group Pmn2_1 (No. 31); the cell edges are 10.9513, 4.1094 and 3.8193 Å and the angles 90.00°, 90.00° and 90.00°. Symmetry generates all atoms from Re at (0.0000, 0.0336, 0.0000), H at (0.0000, 0.5323, 0.3248), H at (0.2332, 0.0043, 0.2026), O at (0.0000, 0.0335, 0.4992), O at (0.0000, 0.5310, 0.0680) and O at (0.1765, 0.0256, 0.9861).

[2]
Computed, not measured: a relaxed structure of Rb2Bi12Au7 at the PBE level of DFT.

The structure belongs to space group P-6 (No. 174); the cell edges are 12.3242, 12.3242 and 4.6957 Å and the angles 90.00°, 90.00° and 120.00°. Symmetry generates all atoms from Rb at (0.0000, 0.0000, 0.0000), Rb at (0.3333, 0.6667, 0.5000), Bi at (0.0453, 0.2775, 0.5000), Bi at (0.1090, 0.7063, 0.0000), Bi at (0.3941, 0.1892, 0.0000), Bi at (0.5443, 0.4408, 0.5000), Au at (0.0672, 0.4478, 0.0000), Au at (0.2659, 0.2365, 0.5000) and Au at (0.6667, 0.3333, 0.0000).

The formation energy comes out at -0.101 eV/atom.

E_tot in eV per atom, matching the order above: -6.39; -3.50